[1]
Below is crystalline TlHgPt2 at its relaxed geometry, with properties calculated at the GGA-PBEsol level.

```
TlHgPt2
1.0
-2.296 -2.129 -2.482
3.187 -1.412 -1.737
-0.388 -1.774 5.097
Hg Pt Tl
1 2 1
Cartesian
1.623 -2.481 0.627 Hg
0.504 -5.294 0.859 Pt
-1.119 -2.834 0.250 Pt
0.446 -1.793 -2.091 Tl
```

Output
Energy of formation from the pure elements (eV/f.u.): 0.40


[2]
Below is crystalline HgPtW at its relaxed geometry, with properties calculated at the GGA-PBEsol level.

```
HgPtW
1.0
2.864 0.000 0.000
0.000 2.864 0.000
-1.432 -1.432 6.117
Hg Pt W
1 1 1
Cartesian
1.432 1.432 6.098 Hg
1.432 1.432 2.202 Pt
0.000 0.000 3.934 W
```

Output
Energy of formation from the pure elements (eV/f.u.): 0.46


[3]
Below is crystalline YHgPt2 at its relaxed geometry, with properties calculated at the GGA-PBEsol level.

```
YHgPt2
1.0
4.242 0.000 0.000
0.000 4.242 0.000
-2.121 -2.121 4.064
Y Hg Pt
1 1 2
Cartesian
0.000 0.000 0.000 Y
2.121 2.121 0.000 Hg
2.121 0.000 2.032 Pt
0.000 2.121 2.032 Pt
```

Output
Energy of formation from the pure elements (eV/f.u.): -3.05


[4]
Below is crystalline YHgPt at its relaxed geometry, with properties calculated at the GGA-PBEsol level.

```
YHgPt
1.0
-2.330 1.101 3.853
-4.508 1.049 -0.238
-3.155 -2.929 1.717
Hg Pt Y
1 1 1
Cartesian
-2.498 -0.195 1.333 Hg
0.000 0.000 0.000 Pt
-4.996 -0.390 2.666 Y
```

Output
Energy of formation from the pure elements (eV/f.u.): -1.11


[5]
Below is crystalline YHg2Pt2 at its relaxed geometry, with properties calculated at the GGA-PBEsol level.

```
YHg2Pt2
1.0
-3.587 0.670 -1.525
-0.599 -3.897 -0.305
-0.512 1.537 7.009
Y Hg Pt
1 2 2
Cartesian
0.000 0.000 0.000 Y
-1.602 -1.987 2.895 Hg
-3.096 0.297 2.285 Hg
-2.104 -0.061 4.923 Pt
-2.593 -1.628 0.256 Pt
```

Output
Energy of formation from the pure elements (eV/f.u.): -2.45


[6]
Below is crystalline YHgPt at its relaxed geometry, with properties calculated at the GGA-PBEsol level.

```
YHgPt
1.0
3.670 0.000 0.000
0.000 3.670 0.000
-1.835 -1.835 4.534
Y Hg Pt
1 1 1
Cartesian
1.835 1.835 1.591 Y
1.835 1.835 4.505 Hg
0.000 0.000 2.971 Pt
```

Output
Energy of formation from the pure elements (eV/f.u.): -2.46


[7]
Below is crystalline YHg2Pt at its relaxed geometry, with properties calculated at the GGA-PBEsol level.

```
YHg2Pt
1.0
4.387 0.000 0.000
0.000 4.387 0.000
-2.193 -2.193 4.168
Hg Pt Y
2 1 1
Cartesian
2.193 0.000 2.084 Hg
0.000 2.193 2.084 Hg
2.193 2.193 0.000 Pt
0.000 0.000 0.000 Y
```

Output
Energy of formation from the pure elements (eV/f.u.): -2.28


[8]
Below is crystalline YHg2Pt at its relaxed geometry, with properties calculated at the GGA-PBEsol level.

```
YHg2Pt
1.0
3.537 0.000 0.000
0.000 3.537 0.000
0.000 0.000 6.778
Hg Pt Y
2 1 1
Cartesian
0.000 0.000 0.079 Hg
1.769 1.769 1.793 Hg
0.000 0.000 3.447 Pt
1.769 1.769 4.848 Y
```

Output
Energy of formation from the pure elements (eV/f.u.): -2.16


[9]
Below is crystalline YHgPt2 at its relaxed geometry, with properties calculated at the GGA-PBEsol level.

```
YHgPt2
1.0
-2.126 -2.452 -1.481
-0.698 -1.345 3.229
-4.594 3.662 0.532
Y Hg Pt
1 1 2
Cartesian
-1.412 -1.899 0.874 Y
-3.709 -0.068 1.140 Hg
-3.408 2.716 0.394 Pt
-1.186 0.945 0.137 Pt
```

Output
Energy of formation from the pure elements (eV/f.u.): -2.97


[10]
Below is crystalline YHgPt2 at its relaxed geometry, with properties calculated at the GGA-PBEsol level.

```
YHgPt2
1.0
-2.013 -2.165 2.767
-2.112 -1.802 -2.947
5.155 -1.221 -0.167
Hg Pt Y
1 2 1
Cartesian
0.490 -2.503 -1.602 Hg
0.000 0.000 0.000 Pt
0.539 -2.685 1.255 Pt
-2.063 -1.983 -0.090 Y
```

Output
Energy of formation from the pure elements (eV/f.u.): -3.00


[11]
Below is crystalline ZnHgPt2 at its relaxed geometry, with properties calculated at the GGA-PBEsol level.

```
ZnHgPt2
1.0
-1.769 1.464 1.767
-0.205 -2.869 2.171
4.747 2.002 3.093
Hg Pt Zn
1 2 1
Cartesian
1.386 0.298 3.516 Hg
3.669 1.547 2.391 Pt
1.078 0.454 0.702 Pt
-0.987 -0.702 1.969 Zn
```

Output
Energy of formation from the pure elements (eV/f.u.): -1.01


[12]
Below is crystalline ZnHgPt2 at its relaxed geometry, with properties calculated at the GGA-PBEsol level.

```
ZnHgPt2
1.0
-0.343 -2.879 -0.050
3.993 -0.438 -2.192
2.260 -0.342 4.184
Hg Pt Zn
1 2 1
Cartesian
2.244 -1.722 -0.346 Hg
0.123 -0.019 0.228 Pt
3.535 -0.452 1.752 Pt
1.138 -1.638 2.400 Zn
```

Output
Energy of formation from the pure elements (eV/f.u.): -0.68